Entry 1:
Computed, not measured: Na3Cd4Pt after structural relaxation at the PBE level of DFT.

Properties
Size of the total moment   0.00 Bohr magnetons per cell
ρ   5.76 g/cm3
Fermi-level density of states   2.794 states/eV/cell
VASP energy   -0.06627 Ha/atom
SG   No. 44
Energy of formation   -9.3 kJ/mol of atoms

Lattice parameters (Å, degrees): 6.5597 6.5597 6.5597 100.84 104.26 124.44
With the nearest neighbours (Å) after each atom.
Fractional coordinates of all 8 atoms:
Cd (0.1510, 0.1795, 0.3305)  1 Pt 2.70, 3 Cd 3.00-3.01
Pt (0.1938, 0.5000, 0.6938)  4 Cd 2.70-2.73
Cd (0.1510, 0.8205, 0.9715)  1 Pt 2.70, 3 Cd 3.00-3.01
Cd (0.6687, 0.2617, 0.4070)  1 Pt 2.73, 3 Cd 2.91-3.01
Na (0.5265, 0.3207, 0.8472)  1 Na 3.00, 1 Pt 3.07, 5 Cd 3.22-3.27
Cd (0.1454, 0.7383, 0.4070)  1 Pt 2.73, 3 Cd 2.91-3.01
Na (0.5265, 0.6793, 0.2058)  1 Na 3.00, 1 Pt 3.07, 5 Cd 3.22-3.27
Na (0.7881, 0.0000, 0.7881)  2 Pt 3.15, 4 Cd 3.29-3.46, 2 Na 3.41



Entry 2:
Computed, not measured: Na3Cd3Pt2 after structural relaxation at the PBE level of DFT.

Properties
Distance to the lowest polymorph of the same formula   46 meV/atom
Size of the total moment   0.00 Bohr magnetons per cell
ρ   6.84 g/cm3
Fermi-level density of states   3.129 states/eV/cell
VASP energy   -0.09204 Ha/atom
SG   No. 2
Energy of formation   -15.1 kJ/mol of atoms

Lattice parameters (Å, degrees): 4.6289 5.5647 7.9155 82.75 73.04 90.20
With the nearest neighbours (Å) after each atom.
Fractional coordinates of all 8 atoms:
Na (0.8301, 0.4221, 0.3368)  2 Pt 2.82-2.95
Pt (0.7804, 0.9158, 0.4385)  2 Pt 2.71, 3 Cd 2.75-2.81, 2 Na 2.82-2.95
Na (0.0000, 0.0000, 0.0000)  4 Cd 3.05, 2 Pt 3.29
Cd (0.3722, 0.8520, 0.2544)  3 Pt 2.75-2.81, 1 Cd 2.92, 2 Na 3.05
Cd (0.5000, 0.5000, 0.0000)  2 Cd 2.92
Na (0.1699, 0.5779, 0.6632)  2 Pt 2.82-2.95
Pt (0.2196, 0.0842, 0.5615)  2 Pt 2.71, 3 Cd 2.75-2.81, 2 Na 2.82-2.95
Cd (0.6278, 0.1480, 0.7456)  3 Pt 2.75-2.81, 1 Cd 2.92, 2 Na 3.05



Entry 3:
Computed, not measured: NaPuCdPt after structural relaxation at the PBE level of DFT.

Properties
Size of the total moment   5.86 Bohr magnetons per cell
ρ   10.43 g/cm3
Fermi-level density of states   13.444 states/eV/cell
VASP energy   -0.21315 Ha/atom
SG   No. 216
Energy of formation   -14.3 kJ/mol of atoms

Lattice parameters (Å, degrees): 5.0576 5.0576 5.0576 60.00 60.00 60.00
With the nearest neighbours (Å) after each atom.
Fractional coordinates of all 4 atoms:
Pu (0.5000, 0.5000, 0.5000)  4 Cd 3.10, 4 Pt 3.10
Na (0.0000, 0.0000, 0.0000)  4 Pt 3.10, 4 Cd 3.10
Pt (0.7500, 0.7500, 0.7500)  4 Pu 3.10, 4 Na 3.10
Cd (0.2500, 0.2500, 0.2500)  4 Na 3.10, 4 Pu 3.10



Entry 4:
Computed, not measured: NaCd2RePt after structural relaxation at the PBE level of DFT.

Properties
Size of the total moment   0.00 Bohr magnetons per cell
ρ   7.73 g/cm3
Fermi-level density of states   3.478 states/eV/cell
VASP energy   -0.13584 Ha/atom
SG   No. 123
Energy of formation   60.9 kJ/mol of atoms

Lattice parameters (Å, degrees): 5.3039 4.8032 5.3039 90.00 90.00 90.00
With the nearest neighbours (Å) after each atom.
Fractional coordinates of all 5 atoms:
Re (0.0000, 0.0000, 0.0000)  2 Pt 2.40, 4 Cd 2.65
Pt (0.0000, 0.5000, 0.0000)  2 Re 2.40
Cd (0.0000, 0.0000, 0.5000)  2 Re 2.65
Na (0.5000, 0.5000, 0.5000)  8 Cd 3.58, 4 Pt 3.75
Cd (0.5000, 0.0000, 0.0000)  2 Re 2.65



Entry 5:
Computed, not measured: Na2CdRuPt after structural relaxation at the PBE level of DFT.

Properties
Size of the total moment   1.14 Bohr magnetons per cell
ρ   5.62 g/cm3
Fermi-level density of states   4.101 states/eV/cell
VASP energy   -0.11471 Ha/atom
SG   No. 123
Energy of formation   62.9 kJ/mol of atoms

Lattice parameters (Å, degrees): 5.2757 4.8233 5.2757 90.00 90.00 90.00
With the nearest neighbours (Å) after each atom.
Fractional coordinates of all 5 atoms:
Cd (0.5000, 0.5000, 0.5000)  8 Na 3.57, 4 Ru 3.73
Pt (0.0000, 0.0000, 0.0000)  2 Ru 2.41, 4 Na 2.64
Ru (0.0000, 0.5000, 0.0000)  2 Pt 2.41
Na (0.0000, 0.0000, 0.5000)  2 Pt 2.64
Na (0.5000, 0.0000, 0.0000)  2 Pt 2.64



Entry 6:
Computed, not measured: Na2CdSb3Pt4 after structural relaxation at the PBE level of DFT.

Properties
Size of the total moment   0.00 Bohr magnetons per cell
Formation energy (no corrections)   -0.419 eV/atom
ρ   9.40 g/cm3
Fermi-level density of states   5.188 states/eV/cell
VASP energy   -0.16271 Ha/atom
SG   No. 115

Lattice parameters (Å, degrees): 4.7064 4.7064 10.3975 90.00 90.00 90.00
With the nearest neighbours (Å) after each atom.
Fractional coordinates of all 10 atoms:
Pt (0.0000, 0.5000, 0.3718)  3 Sb 2.58-2.70, 2 Cd 2.70
Sb (0.0000, 0.5000, 0.1236)  5 Pt 2.58-2.68
Na (0.0000, 0.5000, 0.7585)  8 Pt 3.44-3.59, 7 Sb 3.55-3.80, 2 Cd 3.57
Cd (0.5000, 0.5000, 0.5000)  4 Pt 2.70
Pt (0.0000, 0.0000, 0.0000)  4 Sb 2.68
Sb (0.5000, 0.0000, 0.8764)  5 Pt 2.58-2.68
Pt (0.5000, 0.0000, 0.6282)  3 Sb 2.58-2.70, 2 Cd 2.70
Sb (0.0000, 0.0000, 0.5000)  4 Pt 2.70
Pt (0.5000, 0.5000, 0.0000)  4 Sb 2.68
Na (0.5000, 0.0000, 0.2415)  8 Pt 3.44-3.59, 7 Sb 3.55-3.80, 2 Cd 3.57



Entry 7:
Computed, not measured: NaCdSbPt after structural relaxation at the PBE level of DFT.

Properties
Size of the total moment   0.00 Bohr magnetons per cell
Formation energy (no corrections)   -0.236 eV/atom
ρ   9.38 g/cm3
Fermi-level density of states   1.148 states/eV/cell
VASP energy   -0.12258 Ha/atom
SG   No. 216

Lattice parameters (Å, degrees): 4.8371 4.8371 4.8371 60.00 60.00 60.00
With the nearest neighbours (Å) after each atom.
Fractional coordinates of all 4 atoms:
Cd (0.5000, 0.5000, 0.5000)  4 Na 2.96, 4 Pt 2.96
Pt (0.7500, 0.7500, 0.7500)  4 Cd 2.96, 4 Sb 2.96
Na (0.2500, 0.2500, 0.2500)  4 Cd 2.96, 4 Sb 2.96
Sb (0.0000, 0.0000, 0.0000)  4 Na 2.96, 4 Pt 2.96



Entry 8:
Computed, not measured: NaScCdPt2 after structural relaxation at the PBE level of DFT.

Properties
Size of the total moment   0.00 Bohr magnetons per cell
ρ   7.58 g/cm3
Fermi-level density of states   2.526 states/eV/cell
VASP energy   -0.13747 Ha/atom
SG   No. 123
Energy of formation   37.5 kJ/mol of atoms

Lattice parameters (Å, degrees): 4.8663 5.2758 4.8663 90.00 90.00 90.00
With the nearest neighbours (Å) after each atom.
Fractional coordinates of all 5 atoms:
Pt (0.0000, 0.0000, 0.5000)  2 Sc 2.43
Na (0.0000, 0.5000, 0.0000)  2 Sc 2.64
Pt (0.5000, 0.0000, 0.0000)  2 Sc 2.43
Cd (0.5000, 0.5000, 0.5000)  4 Na 3.44, 8 Pt 3.59
Sc (0.0000, 0.0000, 0.0000)  4 Pt 2.43, 2 Na 2.64



Entry 9:
Computed, not measured: Na2CdSi3Pt4 after structural relaxation at the PBE level of DFT.

Properties
Size of the total moment   0.00 Bohr magnetons per cell
Formation energy (no corrections)   -0.520 eV/atom
ρ   9.19 g/cm3
Fermi-level density of states   3.628 states/eV/cell
VASP energy   -0.18077 Ha/atom
SG   No. 115

Lattice parameters (Å, degrees): 4.2514 4.2514 10.2236 90.00 90.00 90.00
With the nearest neighbours (Å) after each atom.
Fractional coordinates of all 10 atoms:
Si (0.5000, 0.0000, 0.8803)  5 Pt 2.33-2.45
Pt (0.0000, 0.5000, 0.3474)  1 Si 2.33
Pt (0.5000, 0.5000, 0.0000)  4 Si 2.45
Pt (0.0000, 0.0000, 0.0000)  4 Si 2.45
Na (0.0000, 0.5000, 0.7541)  8 Pt 3.18-3.29, 6 Si 3.27-3.36, 2 Cd 3.36
Pt (0.5000, 0.0000, 0.6526)  1 Si 2.33
Si (0.0000, 0.5000, 0.1197)  5 Pt 2.33-2.45
Cd (0.5000, 0.5000, 0.5000)  4 Pt 2.64
Si (0.0000, 0.0000, 0.5000)  4 Pt 2.64
Na (0.5000, 0.0000, 0.2459)  8 Pt 3.18-3.29, 6 Si 3.27-3.36, 2 Cd 3.36



Entry 10:
Computed, not measured: Na3Cd2SiPt3 after structural relaxation at the PBE level of DFT.

Properties
Size of the total moment   0.00 Bohr magnetons per cell
Formation energy (no corrections)   -0.323 eV/atom
ρ   8.95 g/cm3
Fermi-level density of states   2.756 states/eV/cell
VASP energy   -0.13166 Ha/atom
SG   No. 189

Lattice parameters (Å, degrees): 3.4210 7.5378 7.5378 120.00 90.00 90.00
With the nearest neighbours (Å) after each atom.
Fractional coordinates of all 9 atoms:
Pt (0.5000, 0.2335, 0.2335)  2 Si 2.45
Pt (0.5000, 0.7665, 0.0000)  2 Si 2.45
Na (0.0000, 0.0000, 0.3872)  4 Cd 2.90, 1 Si 2.92, 4 Pt 3.07
Na (0.0000, 0.6128, 0.6128)  4 Cd 2.90, 1 Si 2.92, 4 Pt 3.07
Na (0.0000, 0.3872, 0.0000)  4 Cd 2.90, 1 Si 2.92, 4 Pt 3.07
Pt (0.5000, 0.0000, 0.7665)  2 Si 2.45
Cd (0.5000, 0.6667, 0.3333)  6 Na 2.90, 3 Pt 2.96
Cd (0.5000, 0.3333, 0.6667)  6 Na 2.90, 3 Pt 2.96
Si (0.0000, 0.0000, 0.0000)  6 Pt 2.45



Entry 11:
Computed, not measured: Na2CdSi4Pt3 after structural relaxation at the PBE level of DFT.

Properties
Size of the total moment   0.00 Bohr magnetons per cell
Formation energy (no corrections)   -0.400 eV/atom
ρ   7.76 g/cm3
Fermi-level density of states   4.722 states/eV/cell
VASP energy   -0.17406 Ha/atom
SG   No. 115

Lattice parameters (Å, degrees): 4.2526 4.2526 10.1314 90.00 90.00 90.00
With the nearest neighbours (Å) after each atom.
Fractional coordinates of all 10 atoms:
Si (0.5000, 0.0000, 0.6449)  3 Pt 2.38-2.58, 2 Cd 2.58
Pt (0.0000, 0.0000, 0.5000)  4 Si 2.58
Pt (0.5000, 0.0000, 0.8800)  5 Si 2.38-2.45
Si (0.5000, 0.5000, 0.0000)  4 Pt 2.45
Si (0.0000, 0.0000, 0.0000)  4 Pt 2.45
Cd (0.5000, 0.5000, 0.5000)  4 Si 2.58
Na (0.0000, 0.5000, 0.7548)  8 Si 3.21-3.27, 6 Pt 3.26-3.34, 2 Cd 3.34
Si (0.0000, 0.5000, 0.3551)  3 Pt 2.38-2.58, 2 Cd 2.58
Na (0.5000, 0.0000, 0.2452)  8 Si 3.21-3.27, 6 Pt 3.26-3.34, 2 Cd 3.34
Pt (0.0000, 0.5000, 0.1200)  5 Si 2.38-2.45



Entry 12:
Computed, not measured: NaCd2SnPt after structural relaxation at the PBE level of DFT.

Properties
Size of the total moment   0.00 Bohr magnetons per cell
ρ   6.52 g/cm3
Fermi-level density of states   1.592 states/eV/cell
VASP energy   -0.10299 Ha/atom
SG   No. 123
Energy of formation   -15.8 kJ/mol of atoms

Lattice parameters (Å, degrees): 5.2951 5.2951 5.1044 90.00 90.00 90.00
With the nearest neighbours (Å) after each atom.
Fractional coordinates of all 5 atoms:
Cd (0.0000, 0.5000, 0.0000)  2 Pt 2.65
Na (0.5000, 0.5000, 0.5000)  8 Cd 3.68, 4 Sn 3.74
Cd (0.5000, 0.0000, 0.0000)  2 Pt 2.65
Pt (0.0000, 0.0000, 0.0000)  2 Sn 2.55, 4 Cd 2.65
Sn (0.0000, 0.0000, 0.5000)  2 Pt 2.55



What did the sixth record say?
Computed, not measured: Na2CdSb3Pt4 after structural relaxation at the PBE level of DFT.

Properties
Size of the total moment   0.00 Bohr magnetons per cell
Formation energy (no corrections)   -0.419 eV/atom
ρ   9.40 g/cm3
Fermi-level density of states   5.188 states/eV/cell
VASP energy   -0.16271 Ha/atom
SG   No. 115

Lattice parameters (Å, degrees): 4.7064 4.7064 10.3975 90.00 90.00 90.00
With the nearest neighbours (Å) after each atom.
Fractional coordinates of all 10 atoms:
Pt (0.0000, 0.5000, 0.3718)  3 Sb 2.58-2.70, 2 Cd 2.70
Sb (0.0000, 0.5000, 0.1236)  5 Pt 2.58-2.68
Na (0.0000, 0.5000, 0.7585)  8 Pt 3.44-3.59, 7 Sb 3.55-3.80, 2 Cd 3.57
Cd (0.5000, 0.5000, 0.5000)  4 Pt 2.70
Pt (0.0000, 0.0000, 0.0000)  4 Sb 2.68
Sb (0.5000, 0.0000, 0.8764)  5 Pt 2.58-2.68
Pt (0.5000, 0.0000, 0.6282)  3 Sb 2.58-2.70, 2 Cd 2.70
Sb (0.0000, 0.0000, 0.5000)  4 Pt 2.70
Pt (0.5000, 0.5000, 0.0000)  4 Sb 2.68
Na (0.5000, 0.0000, 0.2415)  8 Pt 3.44-3.59, 7 Sb 3.55-3.80, 2 Cd 3.57